Entry 1:
CuHg2Au: relaxed, GGA-PBE.

Lattice parameters (Å, degrees): 3.8938 3.9340 5.6903 90.00 109.40 90.00
With the nearest neighbours (Å) after each atom.
Positions (direct):
Cu 0.0000 0.0000 0.0000  2 Au 2.62, 5 Hg 2.69-2.84
Hg 0.2653 0.0000 0.5011  1 Cu 2.69, 4 Au 2.93
Hg 0.5593 0.5000 0.1188  4 Cu 2.84, 3 Au 3.00-3.08
Au 0.8511 0.5000 0.6780  2 Cu 2.62, 4 Hg 2.93

V: 82.22 Å³/f.u.
Symmetry: Pm (6)
Energy relative to the lowest polymorph listed for this composition: 51.9 meV/atom
Magnetic moment: 0.00 μB/atom

Entry 2:
Cu2HgAu2: relaxed, GGA-PBE.

Lattice parameters (Å, degrees): 6.6957 6.6957 6.6957 146.47 146.47 48.14
With the nearest neighbours (Å) after each atom.
Positions (direct):
Cu 0.0971 0.0971 0.0000  1 Cu 2.37
Cu 0.9029 0.9029 0.0000  1 Cu 2.37
Hg 0.5000 0.5000 0.0000  8 Cu 2.98
Au 0.2500 0.7500 0.5000  4 Cu 2.69, 4 Au 2.73
Au 0.7500 0.2500 0.5000  4 Cu 2.69, 4 Au 2.73

V: 91.19 Å³/f.u.
Symmetry: I4/mmm (139)
Energy relative to the lowest polymorph listed for this composition: 118.5 meV/atom
Magnetic moment: 0.00 μB/atom

Entry 3:
CuHg2Au: relaxed, GGA-PBE.

Lattice parameters (Å, degrees): 5.2864 5.2864 5.2864 133.83 133.83 67.35
With the nearest neighbours (Å) after each atom.
Positions (direct):
Cu 0.0000 0.0000 0.0000  8 Hg 2.93-3.02, 4 Au 3.02
Hg 0.2500 0.7500 0.5000  4 Au 2.93, 4 Hg 3.02, 4 Cu 3.02
Hg 0.5000 0.5000 0.0000  4 Cu 2.93, 4 Hg 3.02, 4 Au 3.02
Au 0.7500 0.2500 0.5000  8 Hg 2.93-3.02, 4 Cu 3.02

V: 75.60 Å³/f.u.
Symmetry: I-4m2 (119)
Energy relative to the lowest polymorph listed for this composition: 80.8 meV/atom
Magnetic moment: 0.00 μB/atom

Entry 4:
Cu2Hg2Au: relaxed, GGA-PBE.

Lattice parameters (Å, degrees): 7.9597 7.9597 7.9597 154.60 154.60 36.22
With the nearest neighbours (Å) after each atom.
Positions (direct):
Cu 0.2500 0.7500 0.5000  4 Cu 2.47, 4 Hg 2.75
Cu 0.7500 0.2500 0.5000  4 Cu 2.47, 4 Hg 2.75
Hg 0.1100 0.1100 0.0000  4 Cu 2.75, 4 Au 2.98
Hg 0.8900 0.8900 0.0000  4 Cu 2.75, 4 Au 2.98
Au 0.5000 0.5000 0.0000  8 Hg 2.98

V: 92.64 Å³/f.u.
Symmetry: I4/mmm (139)
Energy relative to the lowest polymorph listed for this composition: 24.2 meV/atom
Magnetic moment: 0.00 μB/atom

Values of DOS(E_F), in order: 1.307; 1.882; 0.699; 1.615, all in states/eV per cell.
Values of ΔE_f, in order: 0.57; 0.84; 0.68; 0.82, all in eV/f.u..
Values of raw total energy, in order: -1.852; -2.842; -1.823; -2.250, all in eV/atom.